CaCe2In6 | PBE-GGA | optimized geometry

Unit cell a=8.800 b=8.800 c=3.601 alpha=90.00 beta=90.00 gamma=120.00
Sites, in units of the cell vectors:
Ca 0.000 0.000 0.000
Ce 0.333 0.667 0.000
Ce 0.667 0.333 0.000
In 0.000 0.333 0.500
In 0.000 0.667 0.500
In 0.333 0.000 0.500
In 0.333 0.333 0.500
In 0.667 0.000 0.500
In 0.667 0.667 0.500

Computed properties:
Space group   No. 191
Energy   -33.61 eV for the cell shown

***

La2YTl | PBE-GGA | optimized geometry

Unit cell a=3.844 b=4.825 c=7.056 alpha=90.00 beta=90.00 gamma=90.00
Sites, in units of the cell vectors:
La 0.000 0.000 0.236
La 0.000 0.000 0.764
Y 0.500 0.500 0.500
Tl 0.500 0.500 0.000

Computed properties:
Energy above the most stable polymorph in this dataset   0.042 eV/atom
Space group   No. 47
Energy   -19.39 eV for the cell shown

***

La5PmY12 | PBE-GGA | optimized geometry

Unit cell a=10.877 b=10.877 c=6.283 alpha=106.58 beta=106.58 gamma=59.89
Sites, in units of the cell vectors:
La 0.000 0.000 0.000
La 0.166 0.166 0.500
La 0.334 0.334 0.001
La 0.666 0.666 0.999
La 0.834 0.834 0.500
Pm 0.500 0.500 0.500
Y 0.002 0.664 0.999
Y 0.166 0.502 0.501
Y 0.170 0.830 0.500
Y 0.332 0.668 0.000
Y 0.336 0.998 0.001
Y 0.498 0.834 0.499
Y 0.502 0.166 0.501
Y 0.664 0.002 0.999
Y 0.668 0.332 0.000
Y 0.830 0.170 0.500
Y 0.834 0.498 0.499
Y 0.998 0.336 0.001

Computed properties:
Space group   No. 12
Energy   -106.52 eV for the cell shown

***

Sc3RhN | PBE-GGA | optimized geometry

Unit cell a=4.361 b=4.361 c=4.361 alpha=90.00 beta=90.00 gamma=90.00
Sites, in units of the cell vectors:
Sc 0.000 0.000 0.500
Sc 0.000 0.500 0.000
Sc 0.500 0.000 0.000
Rh 0.500 0.500 0.500
N 0.000 0.000 0.000

Computed properties:
Space group   No. 221
Energy   -39.99 eV for the cell shown
Raw formation energy   -1.06 eV per atom